[1]
Compound: ThAl4Au2
Source: Alexandria via LeMat-Bulk
Functional: PBE
Structure: optimized geometry

Summary:
DFT total energy (eV for the cell shown): -130.6
DFT formation energy (meV per atom): -529
DOS at the Fermi energy (states/eV/f.u.): 1.23

Cell: 4.481 6.831 17.491 Å, 90.00 90.00 90.00°
Atoms (fractional coordinates):
1 Au 0.250 0.755 0.536
2 Au 0.750 0.245 0.464
3 Au 0.750 0.255 0.964
4 Au 0.250 0.745 0.036
5 Au 0.250 0.975 0.782
6 Au 0.750 0.025 0.218
7 Au 0.750 0.475 0.718
8 Au 0.250 0.525 0.282
9 Al 0.250 0.281 0.691
10 Al 0.750 0.719 0.309
11 Al 0.750 0.781 0.809
12 Al 0.250 0.219 0.191
13 Al 0.250 0.679 0.684
14 Al 0.750 0.321 0.316
15 Al 0.750 0.179 0.816
16 Al 0.250 0.821 0.184
17 Al 0.250 0.177 0.536
18 Al 0.750 0.823 0.464
19 Al 0.750 0.677 0.964
20 Al 0.250 0.323 0.036
21 Al 0.250 0.485 0.430
22 Al 0.750 0.515 0.570
23 Al 0.750 0.985 0.070
24 Al 0.250 0.015 0.930
25 Th 0.750 0.992 0.636
26 Th 0.250 0.008 0.364
27 Th 0.250 0.492 0.864
28 Th 0.750 0.508 0.136

---

[2]
Compound: ThAl4Au12
Source: Alexandria via LeMat-Bulk
Functional: PBE
Structure: optimized geometry

Summary:
DFT total energy (eV for the cell shown): -65.1
DFT formation energy (meV per atom): -197
DOS at the Fermi energy (states/eV/f.u.): 4.50

Cell: 7.733 7.733 7.733 Å, 109.47 109.47 109.47°
Atoms (fractional coordinates):
1 Th 0.000 0.000 0.000
2 Al 0.000 0.500 0.000
3 Al 0.500 0.000 0.000
4 Al 0.500 0.500 0.500
5 Al 0.000 0.000 0.500
6 Au 0.844 0.341 0.185
7 Au 0.341 0.496 0.156
8 Au 0.815 0.156 0.659
9 Au 0.341 0.185 0.844
10 Au 0.185 0.844 0.341
11 Au 0.659 0.503 0.844
12 Au 0.496 0.156 0.341
13 Au 0.503 0.844 0.659
14 Au 0.659 0.815 0.156
15 Au 0.844 0.659 0.503
16 Au 0.156 0.341 0.497
17 Au 0.156 0.659 0.815

---

[3]
Compound: Th2Al2Au3
Source: Alexandria via LeMat-Bulk
Functional: PBE
Structure: optimized geometry

Summary:
DFT total energy (eV for the cell shown): -73.2
DFT formation energy (meV per atom): -638
DOS at the Fermi energy (states/eV/f.u.): 4.59

Cell: 4.304 7.324 10.109 Å, 90.00 102.29 90.00°
Atoms (fractional coordinates):
1 Th 0.151 0.250 0.302
2 Th 0.849 0.750 0.698
3 Th 0.944 0.250 0.888
4 Th 0.056 0.750 0.112
5 Al 0.693 0.941 0.386
6 Al 0.307 0.059 0.614
7 Al 0.307 0.441 0.614
8 Al 0.693 0.559 0.386
9 Au 0.225 0.750 0.451
10 Au 0.775 0.250 0.549
11 Au 0.567 0.448 0.134
12 Au 0.433 0.552 0.866
13 Au 0.433 0.948 0.866
14 Au 0.567 0.052 0.134

---

[4]
Compound: Th2TiAl4Au3
Source: Alexandria via LeMat-Bulk
Functional: PBE
Structure: optimized geometry

Summary:
DFT total energy (eV for the cell shown): -53.4
DFT formation energy (meV per atom): -589
DOS at the Fermi energy (states/eV/f.u.): 5.63

Cell: 4.335 4.335 10.929 Å, 90.00 90.00 90.00°
Atoms (fractional coordinates):
1 Th 0.500 0.000 0.252
2 Th 0.000 0.500 0.748
3 Ti 0.500 0.500 0.500
4 Al 0.500 0.500 0.000
5 Al 0.000 0.000 0.000
6 Al 0.500 0.000 0.641
7 Al 0.000 0.500 0.359
8 Au 0.000 0.000 0.500
9 Au 0.500 0.000 0.872
10 Au 0.000 0.500 0.128

---

[5]
Compound: TmThAl2Au4
Source: Alexandria via LeMat-Bulk
Functional: PBE
Structure: optimized geometry

Summary:
DFT total energy (eV for the cell shown): -38.0
DFT formation energy (meV per atom): -685
DOS at the Fermi energy (states/eV/f.u.): 3.46

Cell: 4.607 4.607 9.431 Å, 75.86 75.86 60.00°
Atoms (fractional coordinates):
1 Tm 0.500 0.500 0.500
2 Th 0.000 0.000 0.000
3 Al 0.759 0.759 0.723
4 Al 0.241 0.241 0.277
5 Au 0.391 0.391 0.827
6 Au 0.881 0.881 0.357
7 Au 0.119 0.119 0.643
8 Au 0.609 0.609 0.173

---

[6]
Compound: TmThAlAu
Source: Alexandria via LeMat-Bulk
Functional: PBE
Structure: optimized geometry

Summary:
DFT total energy (eV for the cell shown): -20.6
DFT formation energy (meV per atom): -423
DOS at the Fermi energy (states/eV/f.u.): 5.05

Cell: 5.194 5.194 5.194 Å, 60.00 60.00 60.00°
Last column: magnetic moment on the atom in μB.
Atoms (fractional coordinates):
1 Tm 0.750 0.750 0.750  0.21
2 Au 0.500 0.500 0.500  0.05
3 Al 0.000 0.000 0.000  0.00
4 Th 0.250 0.250 0.250  0.17